Entry 1:
The following is a DFT calculation (PBE-GGA) of a relaxed structure of Sc2PaO4. Values from VASP.

```
&SYSTEM
  ibrav = 0, nat = 14, ntyp = 3
/
ATOMIC_SPECIES
O 16.00 O.upf
Sc 44.96 Sc.upf
Pa 231.04 Pa.upf
CELL_PARAMETERS angstrom
-4.0036 1.7465 4.8250
-2.4726 -2.4078 -5.5180
3.2773 -3.9174 4.0339
ATOMIC_POSITIONS crystal
O 0.5787 0.7173 0.8615
O 0.6115 0.7827 0.3942
O 0.1385 0.2827 0.4213
O 0.6115 0.2173 0.8287
O 0.1713 0.7827 0.3885
O 0.1385 0.7173 0.8558
O 0.1442 0.2827 0.8615
O 0.6058 0.2173 0.3885
Sc 0.8750 0.2500 0.6250
Sc 0.3750 0.7500 0.1250
Sc 0.3750 0.2500 0.6250
Sc 0.3750 0.7500 0.6250
Pa 0.0000 0.0000 0.0000
Pa 0.7500 0.5000 0.2500
```

Space group ... I4_1/amd
Uncorrected energy ... -8.84 eV/atom


Entry 2:
The following is a DFT calculation (PBE-GGA) of a relaxed structure of RbBaSmS3. Values from VASP.

```
&SYSTEM
  ibrav = 0, nat = 12, ntyp = 4
/
ATOMIC_SPECIES
S 32.06 S.upf
Sm 150.36 Sm.upf
Rb 85.47 Rb.upf
Ba 137.33 Ba.upf
CELL_PARAMETERS angstrom
2.1470 -9.5250 0.0000
2.1470 9.5250 0.0000
0.0000 0.0000 12.0258
ATOMIC_POSITIONS crystal
S 0.5035 0.4965 0.2500
S 0.0968 0.9032 0.0036
S 0.9032 0.0968 0.5036
S 0.0968 0.9032 0.4964
S 0.4965 0.5035 0.7500
S 0.9032 0.0968 0.9964
Sm 0.5000 0.5000 0.5000
Sm 0.5000 0.5000 0.0000
Rb 0.1283 0.8717 0.7500
Rb 0.8717 0.1283 0.2500
Ba 0.1127 0.8873 0.2500
Ba 0.8873 0.1127 0.7500
```

Space group ... Cmcm
Excess energy over the best structure of this formula in the dataset ... 0.003 eV per atom


Entry 3:
The following is a DFT calculation (PBE-GGA) of a relaxed structure of Hf2Sb2O5. Values from VASP.

```
&SYSTEM
  ibrav = 0, nat = 9, ntyp = 3
/
ATOMIC_SPECIES
O 16.00 O.upf
Sb 121.76 Sb.upf
Hf 178.49 Hf.upf
CELL_PARAMETERS angstrom
8.1661 0.0000 0.0000
0.0000 4.0291 0.0000
0.0000 0.0000 4.0291
ATOMIC_POSITIONS crystal
O 0.5000 0.5000 0.5000
O 0.7026 0.0000 0.5000
O 0.7026 0.5000 0.0000
O 0.2974 0.0000 0.5000
O 0.2974 0.5000 0.0000
Sb 0.5000 0.0000 0.0000
Sb 0.0000 0.0000 0.0000
Hf 0.7470 0.5000 0.5000
Hf 0.2530 0.5000 0.5000
```

Space group ... P4/mmm
Excess energy over the best structure of this formula in the dataset ... 0.000 eV per atom


Entry 4:
The following is a DFT calculation (PBE-GGA) of a relaxed structure of Gd3Y3CoTe2. Values from VASP.

```
&SYSTEM
  ibrav = 0, nat = 9, ntyp = 4
/
ATOMIC_SPECIES
Gd 157.25 Gd.upf
Y 88.91 Y.upf
Te 127.60 Te.upf
Co 58.93 Co.upf
CELL_PARAMETERS angstrom
8.3953 0.0000 0.0000
-4.1977 7.2706 0.0000
0.0000 0.0000 3.9609
ATOMIC_POSITIONS crystal
Gd 0.4022 0.4022 0.0000
Gd 0.5978 0.0000 0.0000
Gd 0.0000 0.5978 0.0000
Y 0.7641 0.7641 0.5000
Y 0.0000 0.2359 0.5000
Y 0.2359 0.0000 0.5000
Te 0.3333 0.6667 0.5000
Te 0.6667 0.3333 0.5000
Co 0.0000 0.0000 0.0000
```

Space group ... P-62m
Excess energy over the best structure of this formula in the dataset ... 0.000 eV per atom


Entry 5:
The following is a DFT calculation (PBE-GGA) of a relaxed structure of CdCl2. Values from VASP.

```
&SYSTEM
  ibrav = 0, nat = 6, ntyp = 2
/
ATOMIC_SPECIES
Cd 112.41 Cd.upf
Cl 35.45 Cl.upf
CELL_PARAMETERS angstrom
6.1801 0.0000 0.0000
0.0000 6.1801 0.0000
0.0000 0.0000 3.9989
ATOMIC_POSITIONS crystal
Cd 0.0000 0.0000 0.0000
Cd 0.5000 0.5000 0.5000
Cl 0.3033 0.3033 0.0000
Cl 0.8033 0.1967 0.5000
Cl 0.1967 0.8033 0.5000
Cl 0.6967 0.6967 0.0000
```

Space group ... P4_2/mnm
Uncorrected energy ... -2.59 eV/atom


Entry 6:
The following is a DFT calculation (PBE-GGA) of a relaxed structure of PrSmGa4. Values from VASP.

```
&SYSTEM
  ibrav = 0, nat = 6, ntyp = 3
/
ATOMIC_SPECIES
Ga 69.72 Ga.upf
Sm 150.36 Sm.upf
Pr 140.91 Pr.upf
CELL_PARAMETERS angstrom
-4.7485 2.3675 2.1530
-3.0479 -4.3751 -2.0874
0.7687 -2.8283 4.8055
ATOMIC_POSITIONS crystal
Ga 0.3494 0.3494 0.5000
Ga 0.8522 0.1478 0.0000
Ga 0.6506 0.6506 0.5000
Ga 0.1478 0.8522 0.0000
Sm 0.0000 0.0000 0.5000
Pr 0.5000 0.5000 0.0000
```

Space group ... Cmmm
Uncorrected energy ... -3.48 eV/atom


Entry 7:
The following is a DFT calculation (PBE-GGA) of a relaxed structure of Gd2Sn2IrPd3. Values from VASP.

```
&SYSTEM
  ibrav = 0, nat = 8, ntyp = 4
/
ATOMIC_SPECIES
Sn 118.71 Sn.upf
Pd 106.42 Pd.upf
Gd 157.25 Gd.upf
Ir 192.22 Ir.upf
CELL_PARAMETERS angstrom
4.5785 0.0000 0.0000
-2.2892 3.9651 0.0000
0.0000 0.0000 9.0568
ATOMIC_POSITIONS crystal
Sn 0.6667 0.3333 0.4978
Sn 0.6667 0.3333 0.9855
Pd 0.3333 0.6667 0.4157
Pd 0.0000 0.0000 0.5851
Pd 0.3333 0.6667 0.0910
Gd 0.3333 0.6667 0.7568
Gd 0.0000 0.0000 0.2469
Ir 0.0000 0.0000 0.9211
```

Space group ... P3m1
Uncorrected energy ... -6.02 eV/atom


Entry 8:
The following is a DFT calculation (PBE-GGA) of a relaxed structure of LiGdPdSe3. Values from VASP.

```
&SYSTEM
  ibrav = 0, nat = 12, ntyp = 4
/
ATOMIC_SPECIES
Gd 157.25 Gd.upf
Pd 106.42 Pd.upf
Se 78.96 Se.upf
Li 6.94 Li.upf
CELL_PARAMETERS angstrom
0.1853 6.4821 3.0270
-1.4810 -3.9814 -5.7593
-9.7178 -1.3131 3.4067
ATOMIC_POSITIONS crystal
Gd 0.0000 0.0000 0.0000
Gd 0.0000 0.0000 0.5000
Pd 0.4902 0.5098 0.7500
Pd 0.5098 0.4902 0.2500
Se 0.1052 0.8948 0.7500
Se 0.3575 0.6425 0.5817
Se 0.6425 0.3575 0.0817
Se 0.8948 0.1052 0.2500
Se 0.3575 0.6425 0.9183
Se 0.6425 0.3575 0.4183
Li 0.2029 0.7971 0.2500
Li 0.7971 0.2029 0.7500
```

Space group ... Cmcm
Uncorrected energy ... -4.77 eV/atom


Entry 9:
The following is a DFT calculation (PBE-GGA) of a relaxed structure of LuPaCo. Values from VASP.

```
&SYSTEM
  ibrav = 0, nat = 3, ntyp = 3
/
ATOMIC_SPECIES
Co 58.93 Co.upf
Pa 231.04 Pa.upf
Lu 174.97 Lu.upf
CELL_PARAMETERS angstrom
-0.3518 -3.3453 -3.1202
-2.1266 -3.9218 1.0713
-4.0771 -0.9814 -1.8613
ATOMIC_POSITIONS crystal
Co 0.0000 0.0000 0.0000
Pa 0.7500 0.7500 0.7500
Lu 0.2500 0.2500 0.2500
```

Space group ... F-43m
Excess energy over the best structure of this formula in the dataset ... 0.000 eV per atom